Computed, not measured: an optimized crystal structure of CsZr3Al at the PBE-GGA level of DFT.

Cell: 5.2995 5.2995 5.2995 Å, 90.00 90.00 90.00°
Positions (direct):
Al 0.0000 0.0000 0.0000
Zr 0.0000 0.0000 0.5000
Zr 0.5000 0.0000 0.0000
Cs 0.5000 0.5000 0.5000
Zr 0.0000 0.5000 0.0000

Properties
formation enthalpy at 0 K: 99.3 kJ/mol of atoms



Computed, not measured: an optimized crystal structure of KHgBr2 at the PBE-GGA level of DFT.

Cell: 9.3533 9.3533 9.3533 Å, 30.96 30.96 30.96°
Positions (direct):
Hg 0.0000 0.0000 0.0000
Br 0.8955 0.8955 0.8955
K 0.5000 0.5000 0.5000
Br 0.1045 0.1045 0.1045

Properties
uncorrected formation energy: -0.8347 eV per atom



What energy relative to the lowest polymorph listed for this composition values result from the calculations? In sequence: 0; 131 meV per atom.